# 1
MgUSnO6 | PBE-GGA | optimized geometry

The uncorrected formation energy is -2073.8 kJ/mol of formula units.

The space group is P-31c (No. 163) and the conventional cell measures 5.4441, 5.4441 and 9.1694 Å, with angles of 90.00, 90.00 and 120.00 degrees. The inequivalent atoms are Mg at (0.0000, 0.0000, 0.0000), U at (0.3333, 0.6667, 0.2500), Sn at (0.3333, 0.6667, 0.7500) and O at (0.9996, 0.3391, 0.1305).

# 2
ZnSiSe2 | PBE-GGA | optimized geometry

The uncorrected formation energy is 11.1 kJ/mol of formula units.

The space group is P2/m (No. 10) and the conventional cell measures 2.6166, 3.7798 and 8.4611 Å, with angles of 90.00, 91.17 and 90.00 degrees. The inequivalent atoms are Zn at (0.0000, 0.0000, 0.0000), Si at (0.0000, 0.0000, 0.5000) and Se at (0.0141, 0.5000, 0.7137).

# 3
MgNbSe | PBE-GGA | optimized geometry

The uncorrected formation energy is -96.5 kJ/mol of formula units.

The space group is Amm2 (No. 38) and the conventional cell measures 12.4749, 3.3464 and 5.7973 Å, with angles of 90.00, 90.00 and 90.00 degrees. The inequivalent atoms are Mg at (0.1828, 0.0000, 0.0000), Nb at (0.0000, 0.0000, 0.3330), Nb at (0.5000, 0.0000, 0.9979) and Se at (0.3594, 0.0000, 0.3314).

# 4
BeAlSb2 | PBE-GGA | optimized geometry

The uncorrected formation energy is 136.1 kJ/mol of formula units. The calculation puts the energy relative to the lowest polymorph listed for this composition at 271 meV per atom.

The space group is Imm2 (No. 44) and the conventional cell measures 3.5848, 3.9586 and 11.9971 Å, with angles of 90.00, 90.00 and 90.00 degrees. The inequivalent atoms are Be at (0.0000, 0.0000, 0.0000), Al at (0.0000, 0.5000, 0.2782), Sb at (0.0000, 0.0000, 0.4509) and Sb at (0.0000, 0.5000, 0.6672).

# 5
Li4Ac2TlIn3 | PBE-GGA | optimized geometry

As for the formation enthalpy at 0 K: -0.29 eV per atom.

The space group is P-4m2 (No. 115) and the conventional cell measures 4.9170, 4.9170 and 10.5509 Å, with angles of 90.00, 90.00 and 90.00 degrees. The inequivalent atoms are Li at (0.0000, 0.0000, 0.0000), Li at (0.0000, 0.5000, 0.3704), Li at (0.5000, 0.5000, 0.0000), Ac at (0.0000, 0.5000, 0.7537), Tl at (0.5000, 0.5000, 0.5000), In at (0.0000, 0.0000, 0.5000) and In at (0.0000, 0.5000, 0.1173).

# 6
NiAsPb | PBE-GGA | optimized geometry

As for the formation enthalpy at 0 K: -0.09 eV per atom.

The space group is P3m1 (No. 156) and the conventional cell measures 4.0186, 4.0186 and 4.5413 Å, with angles of 90.00, 90.00 and 120.00 degrees. The inequivalent atoms are Ni at (0.0000, 0.0000, 0.0000), As at (0.3333, 0.6667, 0.0022) and Pb at (0.6667, 0.3333, 0.5030).

Number 1: M_tot 0.000 Bohr magnetons per cell. Number 2: M_tot 0.000 Bohr magnetons per cell. Number 3: M_tot 0.001 Bohr magnetons per cell. Number 4: M_tot 0.000 Bohr magnetons per cell. Number 5: M_tot 0.000 Bohr magnetons per cell. Number 6: M_tot 0.000 Bohr magnetons per cell.